Entry from Alexandria: a relaxed structure of SnHg2Sb (PBE-GGA).

Its density is 10.05 Mg/m³. The total energy comes out at -2.030 eV/atom. The density of states at the Fermi level is 0.60 states/eV/atom. For the formation energy from raw total energies, the calculation gives 0.152 eV per atom. The value obtained for the energy above the most stable polymorph in this dataset is 112 meV/atom. As for the volume: 424.2 Å³/cell. The magnetization is 0.00 μB/f.u.

It has space group Fm-3m (No. 225), with a = 7.513 Å, b = 7.513 Å, c = 7.513 Å, α = 90.00°, β = 90.00° and γ = 90.00°. The distinct sites, in fractional coordinates, are Sn at (0.000, 0.000, 0.000), Hg at (0.250, 0.250, 0.250) and Sb at (0.000, 0.000, 0.500).